Entry 1:
Mn2ZnNi4 | Alexandria | PBE-GGA | optimized geometry; total DFT energy (no corrections) = -83.97 eV per cell; space-group type = No. 12; total magnetic moment = 9.62 μB per formula unit; calculated formation energy = 0.108 eV/atom
1.0
8.618 0.003 -0.001
0.002 4.407 -2.039
-0.001 -0.408 4.901
Mn Ni Zn
4 8 2
Cartesian
4.310 3.415 1.595
4.309 0.587 1.265
0.001 2.789 0.246
0.000 1.210 2.616
2.357 3.509 3.088
6.463 0.135 2.294
6.464 2.338 1.274
2.154 1.664 1.586
6.262 0.494 -0.228
1.953 1.305 4.108
6.665 2.697 -1.248
2.156 3.868 0.566
4.310 2.205 -1.020
0.000 0.000 0.000

=====

Entry 2:
TbEr6Tm12 | Alexandria | PBE-GGA | optimized geometry; total DFT energy (no corrections) = -77.07 eV per cell; space-group type = No. 166; total magnetic moment = 0.01 μB per formula unit; calculated formation energy = 0.453 eV/atom; energy above the most stable polymorph in this dataset = 5.45 eV per formula unit
1.0
8.793 -0.357 -2.473
-3.172 8.209 -2.473
-0.256 -0.357 9.131
Er Tm Tb
6 12 1
Cartesian
0.137 5.291 3.871
5.229 2.204 0.313
0.402 5.660 0.313
4.964 1.835 3.871
3.788 5.291 -0.810
1.578 2.204 4.995
-0.828 3.747 6.594
7.325 0.424 2.092
2.794 6.794 2.179
3.814 0.424 6.594
-1.959 7.071 2.092
-0.165 2.660 2.005
5.531 4.835 2.179
1.552 7.071 -2.410
2.572 0.701 2.005
6.194 3.747 -2.410
1.905 2.660 -0.649
3.461 4.835 4.833
0.000 0.000 0.000

=====

Entry 3:
AgMoBr6 | Alexandria | PBE-GGA | optimized geometry; total DFT energy (no corrections) = -26.86 eV per cell; space-group type = No. 148; total magnetic moment = 1.00 μB per formula unit; uncorrected formation energy = -0.3928 eV per atom
1.0
6.664 0.008 0.008
3.324 5.776 0.013
3.322 1.920 6.048
Mo Br Ag
1 6 1
Cartesian
0.000 0.000 0.000
5.545 1.749 1.447
4.274 3.762 4.614
9.038 3.943 1.455
7.766 5.957 4.621
5.391 5.871 1.453
7.920 1.834 4.616
6.656 3.853 3.034

=====

Entry 4:
Cs2Cu3As2 | Alexandria | PBE-GGA | optimized geometry; total DFT energy (no corrections) = -24.95 eV per cell; space-group type = No. 12; total magnetic moment = 0.00 μB per formula unit; calculated formation energy = -0.237 eV/atom
1.0
4.229 0.002 0.001
2.113 6.260 1.385
-0.002 -0.247 7.318
As Cs Cu
2 2 3
Cartesian
4.229 1.579 1.721
2.111 4.435 6.982
4.227 4.758 3.690
2.113 1.256 5.014
0.000 0.000 0.000
2.115 2.596 1.079
4.225 3.418 7.625

=====

Entry 5:
GeClO | Alexandria | PBE-GGA | optimized geometry; total DFT energy (no corrections) = -27.60 eV per cell; space-group type = No. 12; total magnetic moment = 0.00 μB per formula unit; uncorrected formation energy = -0.7934 eV per atom; energy above the most stable polymorph in this dataset = 1.02 eV per formula unit
1.0
3.287 0.000 0.000
1.644 6.430 -1.173
1.644 1.855 5.662
O Ge Cl
2 2 2
Cartesian
4.931 5.378 4.137
1.644 2.907 0.353
4.931 3.831 5.268
1.644 4.454 -0.779
3.287 5.924 0.502
3.287 2.362 3.988

=====

Entry 6:
CrInRe2 | Alexandria | PBE-GGA | optimized geometry; total DFT energy (no corrections) = -35.41 eV per cell; space-group type = No. 44; total magnetic moment = 0.00 μB per formula unit; calculated formation energy = 0.462 eV/atom
1.0
-2.509 -3.691 2.606
2.674 -4.303 1.020
-0.140 5.122 0.671
Re Cr In
2 1 1
Cartesian
0.164 -7.902 3.584
-1.284 -1.205 2.510
0.085 -4.105 1.862
1.310 -1.650 1.779

=====

Entry 7:
Pm3HoGe4 | Alexandria | PBE-GGA | optimized geometry; total DFT energy (no corrections) = -84.81 eV per cell; space-group type = No. 59; total magnetic moment = 0.00 μB per formula unit; calculated formation energy = -0.638 eV/atom
1.0
5.974 0.000 0.000
0.000 5.974 0.000
0.000 0.000 12.011
Pm Ge Ho
6 8 2
Cartesian
0.385 4.482 3.003
3.373 4.470 0.000
3.372 1.491 9.008
3.372 1.491 3.003
0.385 4.482 9.009
0.386 1.504 6.006
0.384 1.496 2.955
3.371 4.478 3.051
3.370 1.482 0.000
0.383 4.492 6.006
0.386 4.474 0.000
0.384 1.496 9.056
3.373 1.500 6.006
3.371 4.478 8.960
3.371 4.487 6.006
0.384 1.487 0.000